one.
First-principles (PBE) data for an optimized crystal structure of PuZr2Zn, as listed in Alexandria.

abc: 3.2435 3.2435 8.1354
angles: 90.00 90.00 90.00
With the nearest neighbours (Å) after each atom.
Space group P4/mmm (No. 123)
Inequivalent atoms, fractional coordinates:
Pu 0.0000 0.0000 0.0000 [1 per cell]  8 Zr 3.22, 4 Pu 3.24
Zr 0.5000 0.5000 0.2781 [2 per cell]  4 Zn 2.92, 4 Pu 3.22, 4 Zr 3.24
Zn 0.0000 0.0000 0.5000 [1 per cell]  8 Zr 2.92, 4 Zn 3.24

- D(E_F): 4.5 states/eV/cell
- Crystal system: tetragonal
- Total magnetic moment: 5.26 μB/cell
- Mass density: 9543 kg/m³

two.
First-principles (PBE) data for an optimized crystal structure of PuZr2Zn, as listed in Alexandria.

abc: 3.2385 3.2385 29.1241
angles: 90.00 90.00 120.00
With the nearest neighbours (Å) after each atom.
Space group R3m (No. 160, hexagonal axes)
Inequivalent atoms, fractional coordinates:
Pu 0.0000 0.0000 0.0000 [3 per cell]  6 Zr 3.19-3.21, 6 Pu 3.24
Zr 0.0000 0.0000 0.2438 [3 per cell]  3 Zn 2.93, 3 Pu 3.21, 6 Zr 3.24
Zr 0.0000 0.0000 0.4220 [3 per cell]  3 Zn 2.93, 3 Pu 3.19, 6 Zr 3.24
Zn 0.0000 0.0000 0.8329 [3 per cell]  6 Zr 2.93, 6 Zn 3.24

- D(E_F): 22.6 states/eV/cell
- Crystal system: trigonal
- Total magnetic moment: 14.67 μB/cell
- Mass density: 9263 kg/m³

On energetic grounds, one is preferred over the next structure by 0.131 eV/atom.

one.
First-principles (PBE) data for an optimized crystal structure of Pu3Zr, as listed in Alexandria.

abc: 3.1462 10.4901 5.7245
angles: 90.00 90.00 90.00
With the nearest neighbours (Å) after each atom.
Space group Imm2 (No. 44)
Inequivalent atoms, fractional coordinates:
Pu 0.0000 0.0000 0.0000 [2 per cell]  4 Pu 2.82-3.15
Pu 0.0000 0.2316 0.7503 [4 per cell]  3 Pu 2.82-3.15, 1 Zr 3.14
Zr 0.0000 0.5000 0.9922 [2 per cell]  10 Pu 3.14-3.31, 2 Zr 3.15

- D(E_F): 33.8 states/eV/cell
- Crystal system: orthorhombic
- Total magnetic moment: 10.34 μB/cell
- Mass density: 14471 kg/m³

two.
First-principles (PBE) data for an optimized crystal structure of Pu3Zr, as listed in Alexandria.

abc: 4.5702 4.5702 8.9721
angles: 90.00 90.00 90.00
With the nearest neighbours (Å) after each atom.
Space group I4/mmm (No. 139)
Inequivalent atoms, fractional coordinates:
Pu 0.0000 0.0000 0.0000 [2 per cell]  8 Pu 3.20, 4 Zr 3.23
Pu 0.0000 0.5000 0.2500 [4 per cell]  4 Zr 3.20, 8 Pu 3.20-3.23
Zr 0.0000 0.0000 0.5000 [2 per cell]  12 Pu 3.20-3.23

- D(E_F): 31.0 states/eV/cell
- Crystal system: tetragonal
- Total magnetic moment: 10.30 μB/cell
- Mass density: 14589 kg/m³

three.
First-principles (PBE) data for an optimized crystal structure of Pu3Zr, as listed in Alexandria.

abc: 6.5356 6.5356 5.3776
angles: 90.00 90.00 120.00
With the nearest neighbours (Å) after each atom.
Space group P6_3/mmc (No. 194)
Inequivalent atoms, fractional coordinates:
Pu 0.1686 0.3373 0.2500 [6 per cell]  8 Pu 3.23-3.31, 4 Zr 3.27
Zr 0.3333 0.6667 0.7500 [2 per cell]  12 Pu 3.27

- D(E_F): 35.9 states/eV/cell
- Crystal system: hexagonal
- Total magnetic moment: 32.00 μB/cell
- Mass density: 13744 kg/m³

four.
First-principles (PBE) data for an optimized crystal structure of Pu3Zr, as listed in Alexandria.

abc: 3.2198 3.4962 8.0753
angles: 90.00 90.00 90.00
With the nearest neighbours (Å) after each atom.
Space group Pmm2 (No. 25)
Inequivalent atoms, fractional coordinates:
Pu 0.0000 0.0000 0.0000 [1 per cell]  4 Pu 2.56
Pu 0.0000 0.5000 0.3048 [1 per cell]  4 Pu 3.02-3.22, 4 Zr 3.28
Pu 0.5000 0.5000 0.8833 [1 per cell]  4 Pu 2.56
Zr 0.5000 0.0000 0.5841 [1 per cell]  6 Pu 2.98-3.28, 2 Zr 3.22

- D(E_F): 12.0 states/eV/cell
- Crystal system: orthorhombic
- Total magnetic moment: 5.16 μB/cell
- Mass density: 15038 kg/m³

On energetic grounds, two is preferred over the next structure by 0.040 eV/atom.